[1]
A relaxed SmYPb6 crystal, computed with GGA-PBE.

Structure (CIF):
```
data_SmYPb6
_cell_length_a 4.8963
_cell_length_b 4.8963
_cell_length_c 9.8038
_cell_angle_alpha 90.00
_cell_angle_beta 90.00
_cell_angle_gamma 90.00
_space_group_name_H-M_alt 'P 4/m m m'
_space_group_IT_number 123
_space_group_name_Hall '-P 4 2'
loop_
_atom_site_label
_atom_site_type_symbol
_atom_site_fract_x
_atom_site_fract_y
_atom_site_fract_z
Sm1 Sm 0.0000 0.0000 0.0000
Y1 Y 0.0000 0.0000 0.5000
Pb1 Pb 0.0000 0.5000 0.2520
Pb2 Pb 0.5000 0.5000 0.0000
Pb3 Pb 0.5000 0.5000 0.5000
```

Results
E_tot	-4.497	eV/atom
ρ	10.47	Mg/m³

[2]
A relaxed SmY2Pb crystal, computed with GGA-PBE.

Structure (CIF):
```
data_SmY2Pb
_cell_length_a 3.5655
_cell_length_b 3.5655
_cell_length_c 36.2574
_cell_angle_alpha 90.00
_cell_angle_beta 90.00
_cell_angle_gamma 120.00
_space_group_name_H-M_alt 'R -3 m'
_space_group_IT_number 166
_space_group_name_Hall '-R 3 2"'
loop_
_atom_site_label
_atom_site_type_symbol
_atom_site_fract_x
_atom_site_fract_y
_atom_site_fract_z
Sm1 Sm 0.0000 0.0000 0.0000
Y1 Y 0.0000 0.0000 0.4127
Pb1 Pb 0.0000 0.0000 0.5000
```

Results
energy above the most stable polymorph in this dataset	0.341	eV per atom
E_tot	-5.294	eV/atom
ρ	6.68	Mg/m³

[3]
A relaxed SmY2Pb crystal, computed with GGA-PBE.

Structure (CIF):
```
data_SmY2Pb
_cell_length_a 3.6355
_cell_length_b 3.6355
_cell_length_c 33.0222
_cell_angle_alpha 90.00
_cell_angle_beta 90.00
_cell_angle_gamma 120.00
_space_group_name_H-M_alt 'R 3 m'
_space_group_IT_number 160
_space_group_name_Hall 'R 3 -2"'
loop_
_atom_site_label
_atom_site_type_symbol
_atom_site_fract_x
_atom_site_fract_y
_atom_site_fract_z
Sm1 Sm 0.0000 0.0000 0.0000
Y1 Y 0.0000 0.0000 0.5791
Y2 Y 0.0000 0.0000 0.7546
Pb1 Pb 0.0000 0.0000 0.1666
```

Results
energy above the most stable polymorph in this dataset	0.126	eV per atom
E_tot	-5.509	eV/atom
ρ	7.06	Mg/m³

[4]
A relaxed Sm2YPb crystal, computed with GGA-PBE.

Structure (CIF):
```
data_Sm2YPb
_cell_length_a 4.8715
_cell_length_b 4.8715
_cell_length_c 5.0157
_cell_angle_alpha 90.00
_cell_angle_beta 90.00
_cell_angle_gamma 90.00
_space_group_name_H-M_alt 'P 4/m m m'
_space_group_IT_number 123
_space_group_name_Hall '-P 4 2'
loop_
_atom_site_label
_atom_site_type_symbol
_atom_site_fract_x
_atom_site_fract_y
_atom_site_fract_z
Sm1 Sm 0.0000 0.5000 0.0000
Y1 Y 0.0000 0.0000 0.5000
Pb1 Pb 0.5000 0.5000 0.5000
```

Results
energy above the most stable polymorph in this dataset	0.000	eV per atom
E_tot	-5.213	eV/atom
ρ	8.33	Mg/m³

[5]
A relaxed SmY2Pb9 crystal, computed with GGA-PBE.

Structure (CIF):
```
data_SmY2Pb9
_cell_length_a 4.8965
_cell_length_b 4.8965
_cell_length_c 14.6750
_cell_angle_alpha 90.00
_cell_angle_beta 90.00
_cell_angle_gamma 90.00
_space_group_name_H-M_alt 'P 4/m m m'
_space_group_IT_number 123
_space_group_name_Hall '-P 4 2'
loop_
_atom_site_label
_atom_site_type_symbol
_atom_site_fract_x
_atom_site_fract_y
_atom_site_fract_z
Sm1 Sm 0.0000 0.0000 0.0000
Y1 Y 0.0000 0.0000 0.3334
Pb1 Pb 0.0000 0.5000 0.1683
Pb2 Pb 0.0000 0.5000 0.5000
Pb3 Pb 0.5000 0.5000 0.0000
Pb4 Pb 0.5000 0.5000 0.3342
```

Results
E_tot	-4.560	eV/atom
ρ	10.35	Mg/m³

[6]
A relaxed Sm8YPb6 crystal, computed with GGA-PBE.

Structure (CIF):
```
data_Sm8YPb6
_cell_length_a 9.3310
_cell_length_b 9.3310
_cell_length_c 19.9591
_cell_angle_alpha 90.00
_cell_angle_beta 90.00
_cell_angle_gamma 120.00
_space_group_name_H-M_alt 'R -3'
_space_group_IT_number 148
_space_group_name_Hall '-R 3'
loop_
_atom_site_label
_atom_site_type_symbol
_atom_site_fract_x
_atom_site_fract_y
_atom_site_fract_z
Sm1 Sm 0.0000 0.0000 0.1664
Sm2 Sm 0.0007 0.6645 0.3966
Y1 Y 0.0000 0.0000 0.5000
Pb1 Pb 0.9997 0.3298 0.4313
```

Results
E_tot	-4.818	eV/atom
ρ	8.39	Mg/m³

[7]
A relaxed SmY2Pb crystal, computed with GGA-PBE.

Structure (CIF):
```
data_SmY2Pb
_cell_length_a 3.6668
_cell_length_b 3.6668
_cell_length_c 9.2561
_cell_angle_alpha 90.00
_cell_angle_beta 90.00
_cell_angle_gamma 90.00
_space_group_name_H-M_alt 'P 4/m m m'
_space_group_IT_number 123
_space_group_name_Hall '-P 4 2'
loop_
_atom_site_label
_atom_site_type_symbol
_atom_site_fract_x
_atom_site_fract_y
_atom_site_fract_z
Sm1 Sm 0.0000 0.0000 0.0000
Y1 Y 0.5000 0.5000 0.2691
Pb1 Pb 0.0000 0.0000 0.5000
```

Results
energy above the most stable polymorph in this dataset	0.077	eV per atom
E_tot	-5.558	eV/atom
ρ	7.14	Mg/m³

[8]
A relaxed Sm2YPb crystal, computed with GGA-PBE.

Structure (CIF):
```
data_Sm2YPb
_cell_length_a 3.5829
_cell_length_b 3.5829
_cell_length_c 36.6937
_cell_angle_alpha 90.00
_cell_angle_beta 90.00
_cell_angle_gamma 120.00
_space_group_name_H-M_alt 'R -3 m'
_space_group_IT_number 166
_space_group_name_Hall '-R 3 2"'
loop_
_atom_site_label
_atom_site_type_symbol
_atom_site_fract_x
_atom_site_fract_y
_atom_site_fract_z
Sm1 Sm 0.0000 0.0000 0.0880
Y1 Y 0.0000 0.0000 0.5000
Pb1 Pb 0.0000 0.0000 0.0000
```

Results
energy above the most stable polymorph in this dataset	0.352	eV per atom
E_tot	-4.862	eV/atom
ρ	7.29	Mg/m³

[9]
A relaxed SmY2Pb crystal, computed with GGA-PBE.

Structure (CIF):
```
data_SmY2Pb
_cell_length_a 4.9259
_cell_length_b 4.9259
_cell_length_c 4.8468
_cell_angle_alpha 90.00
_cell_angle_beta 90.00
_cell_angle_gamma 90.00
_space_group_name_H-M_alt 'P 4/m m m'
_space_group_IT_number 123
_space_group_name_Hall '-P 4 2'
loop_
_atom_site_label
_atom_site_type_symbol
_atom_site_fract_x
_atom_site_fract_y
_atom_site_fract_z
Sm1 Sm 0.0000 0.0000 0.0000
Y1 Y 0.0000 0.5000 0.5000
Pb1 Pb 0.5000 0.5000 0.0000
```

Results
energy above the most stable polymorph in this dataset	0.000	eV per atom
E_tot	-5.635	eV/atom
ρ	7.56	Mg/m³

[10]
A relaxed SmYPb crystal, computed with GGA-PBE.

Structure (CIF):
```
data_SmYPb
_cell_length_a 5.2466
_cell_length_b 5.2466
_cell_length_c 3.9355
_cell_angle_alpha 90.00
_cell_angle_beta 90.00
_cell_angle_gamma 120.00
_space_group_name_H-M_alt 'P 3 m 1'
_space_group_IT_number 156
loop_
_space_group_symop_operation_xyz
'x,y,z'
'-y,x-y,z'
'-x+y,-x,z'
'-y,-x,z'
'-x+y,y,z'
'x,x-y,z'
loop_
_atom_site_label
_atom_site_type_symbol
_atom_site_fract_x
_atom_site_fract_y
_atom_site_fract_z
Sm1 Sm 0.0000 0.0000 0.0000
Y1 Y 0.6667 0.3333 0.5426
Pb1 Pb 0.3333 0.6667 0.3331
```

Results
E_tot	-5.193	eV/atom
ρ	7.90	Mg/m³

[11]
A relaxed Sm5YPb6 crystal, computed with GGA-PBE.

Structure (CIF):
```
data_Sm5YPb6
_cell_length_a 5.9126
_cell_length_b 14.5886
_cell_length_c 8.7071
_cell_angle_alpha 90.00
_cell_angle_beta 101.81
_cell_angle_gamma 90.00
_space_group_name_H-M_alt 'C 1 2/m 1'
_space_group_IT_number 12
loop_
_space_group_symop_operation_xyz
'x,y,z'
'-x,-y,-z'
'-x,y,-z'
'x,-y,z'
'x+1/2,y+1/2,z'
'-x+1/2,-y+1/2,-z'
'-x+1/2,y+1/2,-z'
'x+1/2,-y+1/2,z'
loop_
_atom_site_label
_atom_site_type_symbol
_atom_site_fract_x
_atom_site_fract_y
_atom_site_fract_z
Sm1 Sm 0.0000 0.0000 0.0000
Sm2 Sm 0.0000 0.3312 0.0000
Sm3 Sm 0.0000 0.3353 0.5000
Y1 Y 0.0000 0.0000 0.5000
Pb1 Pb 0.0014 0.1655 0.7472
Pb2 Pb 0.0111 0.5000 0.2482
```

Results
E_tot	-4.842	eV/atom
ρ	9.41	Mg/m³

[12]
A relaxed SmYPb crystal, computed with GGA-PBE.

Structure (CIF):
```
data_SmYPb
_cell_length_a 4.6252
_cell_length_b 4.6252
_cell_length_c 8.7016
_cell_angle_alpha 90.00
_cell_angle_beta 90.00
_cell_angle_gamma 90.00
_space_group_name_H-M_alt 'P 4/n m m'
_space_group_IT_number 129
loop_
_space_group_symop_operation_xyz
'x,y,z'
'-x,-y,-z'
'-y+1/2,x,z'
'y+1/2,-x,-z'
'-x+1/2,-y+1/2,z'
'x+1/2,y+1/2,-z'
'y,-x+1/2,z'
'-y,x+1/2,-z'
'x+1/2,-y,-z'
'-x+1/2,y,z'
'-y,-x,-z'
'y,x,z'
'-x,y+1/2,-z'
'x,-y+1/2,z'
'y+1/2,x+1/2,-z'
'-y+1/2,-x+1/2,z'
loop_
_atom_site_label
_atom_site_type_symbol
_atom_site_fract_x
_atom_site_fract_y
_atom_site_fract_z
Sm1 Sm 0.2500 0.2500 0.1553
Y1 Y 0.2500 0.7500 0.5000
Pb1 Pb 0.2500 0.2500 0.7791
```

Results
E_tot	-5.417	eV/atom
ρ	7.97	Mg/m³

no.,ΔE_f (eV per atom)
1,-0.32
2,0.04
3,-0.17
4,-0.31
5,-0.31
6,-0.39
7,-0.22
8,0.04
9,-0.30
10,-0.23
11,-0.48
12,-0.45